1.
Compound: VHCl3
Source: Alexandria
Functional: PBE
Structure: optimized geometry

Cell: 4.760 4.760 4.760 Å, 90.00 90.00 90.00°
Space group Pm-3m (No. 221)
Symmetry-distinct sites (fractional):
1 V 0.000 0.000 0.000 x1
2 H 0.500 0.500 0.500 x1
3 Cl 0.000 0.000 0.500 x3

Values from the calculation:
As for the volume: 21.57 Å³ per atom. Its density is 2.44 g cm⁻³. The value obtained for the excess energy over the best structure of this formula in the dataset is 346.1 meV per atom.

2.
Compound: VH3Cl
Source: Alexandria
Functional: PBE
Structure: optimized geometry

Cell: 3.745 3.745 3.745 Å, 90.00 90.00 90.00°
Space group Pm-3m (No. 221)
Symmetry-distinct sites (fractional):
1 V 0.000 0.000 0.000 x1
2 H 0.000 0.500 0.500 x3
3 Cl 0.500 0.500 0.500 x1

Values from the calculation:
As for the volume: 10.50 Å³ per atom. Its density is 2.83 g cm⁻³. The value obtained for the excess energy over the best structure of this formula in the dataset is 917.5 meV per atom.

3.
Compound: VHCl2
Source: Alexandria
Functional: PBE
Structure: optimized geometry

Cell: 3.2276 3.2276 21.2017 Å, 90.00 90.00 120.00°
Space group R-3m (No. 166, hexagonal axes)
Symmetry-distinct sites (fractional):
1 V 0.0000 0.0000 0.0000 x3
2 H 0.0000 0.0000 0.5000 x3
3 Cl 0.0000 0.0000 0.1032 x6

Values from the calculation:
As for the volume: 15.94 Å³ per atom. The calculated total energy comes out at -44.9 eV per cell. Its density is 3.20 g cm⁻³.

4.
Compound: VZnHCl2
Source: Alexandria
Functional: PBE
Structure: optimized geometry

Cell: 4.770 4.770 5.447 Å, 90.00 90.00 90.00°
Space group P4/mmm (No. 123)
Symmetry-distinct sites (fractional):
1 V 0.000 0.000 0.000 x1
2 Zn 0.000 0.000 0.500 x1
3 H 0.500 0.500 0.500 x1
4 Cl 0.000 0.500 0.000 x2

Values from the calculation:
As for the volume: 24.79 Å³ per atom. The calculated total energy comes out at -16.9 eV per cell. Its density is 2.52 g cm⁻³.

Please write out number 3 again, unchanged.
Compound: VHCl2
Source: Alexandria
Functional: PBE
Structure: optimized geometry

Cell: 3.2276 3.2276 21.2017 Å, 90.00 90.00 120.00°
Space group R-3m (No. 166, hexagonal axes)
Symmetry-distinct sites (fractional):
1 V 0.0000 0.0000 0.0000 x3
2 H 0.0000 0.0000 0.5000 x3
3 Cl 0.0000 0.0000 0.1032 x6

Values from the calculation:
As for the volume: 15.94 Å³ per atom. The calculated total energy comes out at -44.9 eV per cell. Its density is 3.20 g cm⁻³.